(1)
KReO2F at its PBEsol-relaxed geometry. Source: the Alexandria database, functional meta-GGA SCAN.

Unit cell a=3.826 b=3.826 c=4.581 alpha=90.00 beta=90.00 gamma=90.00
Fractional positions:
K 0.000 0.000 0.000
Re 0.500 0.500 0.500
O 0.000 0.500 0.500
O 0.500 0.000 0.500
F 0.500 0.500 0.000

Calculated values
SG = P4/mmm
V = 13.4 Å³ per atom
calculated total energy = -104.295 eV/cell
formation energy without anion corrections = -8.867 eV/f.u.


(2)
KRe2O4F7 at its PBEsol-relaxed geometry. Source: the Alexandria database, functional meta-GGA SCAN.

Unit cell a=5.526 b=5.125 c=15.476 alpha=90.00 beta=105.67 gamma=90.00
Fractional positions:
K 0.000 0.181 0.250
K 0.000 0.819 0.750
Re 0.377 0.256 0.613
Re 0.377 0.744 0.113
Re 0.623 0.256 0.887
Re 0.623 0.744 0.387
O 0.256 0.376 0.508
O 0.256 0.624 0.008
O 0.361 0.090 0.897
O 0.361 0.910 0.397
O 0.639 0.090 0.603
O 0.639 0.910 0.103
O 0.744 0.376 0.992
O 0.744 0.624 0.492
F 0.126 0.390 0.668
F 0.126 0.610 0.168
F 0.177 0.045 0.102
F 0.177 0.955 0.602
F 0.446 0.445 0.336
F 0.446 0.555 0.836
F 0.500 0.116 0.750
F 0.500 0.884 0.250
F 0.554 0.445 0.164
F 0.554 0.555 0.664
F 0.823 0.045 0.398
F 0.823 0.955 0.898
F 0.874 0.390 0.832
F 0.874 0.610 0.332

Calculated values
SG = P2/c
V = 15.1 Å³ per atom
calculated total energy = -461.968 eV/cell
formation energy without anion corrections = -30.755 eV/f.u.


(3)
K3SO4F at its PBEsol-relaxed geometry. Source: the Alexandria database, functional meta-GGA SCAN.

Unit cell a=7.451 b=7.451 c=7.451 alpha=122.14 beta=122.14 gamma=86.34
Fractional positions:
K 0.190 0.690 0.879
K 0.250 0.250 0.000
K 0.310 0.190 0.500
K 0.690 0.810 0.500
K 0.750 0.750 0.000
K 0.810 0.310 0.121
S 0.250 0.750 0.500
S 0.750 0.250 0.500
O 0.051 0.788 0.500
O 0.212 0.712 0.263
O 0.288 0.551 0.500
O 0.449 0.949 0.737
O 0.551 0.051 0.263
O 0.712 0.449 0.500
O 0.788 0.288 0.737
O 0.949 0.212 0.500
F 0.000 0.000 0.000
F 0.500 0.500 0.000

Calculated values
SG = I4/mcm
V = 15.7 Å³ per atom
calculated total energy = -167.642 eV/cell
energy relative to the lowest polymorph listed for this composition = 0 meV/atom
formation energy without anion corrections = -20.742 eV/f.u.


(4)
K3SO4F at its PBEsol-relaxed geometry. Source: the Alexandria database, functional meta-GGA SCAN.

Unit cell a=5.375 b=5.375 c=5.375 alpha=90.00 beta=90.00 gamma=90.00
Fractional positions:
K 0.000 0.000 0.500
K 0.000 0.500 0.000
K 0.500 0.000 0.000
S 0.500 0.500 0.500
O 0.340 0.340 0.660
O 0.340 0.660 0.340
O 0.660 0.340 0.340
O 0.660 0.660 0.660
F 0.000 0.000 0.000

Calculated values
SG = P-43m
V = 17.3 Å³ per atom
calculated total energy = -83.515 eV/cell
energy relative to the lowest polymorph listed for this composition = 34 meV/atom
formation energy without anion corrections = -20.436 eV/f.u.


(5)
KSnSO4F at its PBEsol-relaxed geometry. Source: the Alexandria database, functional meta-GGA SCAN.

Unit cell a=6.140 b=7.068 c=7.146 alpha=106.60 beta=103.01 gamma=109.94
Fractional positions:
K 0.191 0.338 0.128
K 0.809 0.662 0.872
Sn 0.371 0.944 0.708
Sn 0.629 0.056 0.292
S 0.172 0.363 0.659
S 0.828 0.637 0.341
O 0.020 0.637 0.249
O 0.050 0.207 0.431
O 0.325 0.584 0.670
O 0.345 0.292 0.770
O 0.655 0.708 0.230
O 0.675 0.416 0.330
O 0.950 0.793 0.569
O 0.980 0.363 0.751
F 0.269 0.973 0.974
F 0.731 0.027 0.026

Calculated values
SG = P-1
V = 16.3 Å³ per atom
calculated total energy = -195.986 eV/cell
formation energy without anion corrections = -15.650 eV/f.u.


(6)
K2ScSi4O10F at its PBEsol-relaxed geometry. Source: the Alexandria database, functional meta-GGA SCAN.

Unit cell a=8.938 b=8.938 c=8.938 alpha=102.08 beta=102.08 gamma=125.54
Fractional positions:
K 0.180 0.818 0.998
K 0.182 0.180 0.362
K 0.818 0.820 0.638
K 0.820 0.182 0.002
Sc 0.255 0.255 0.000
Sc 0.745 0.745 0.000
Si 0.005 0.703 0.325
Si 0.297 0.621 0.302
Si 0.320 0.995 0.698
Si 0.379 0.680 0.675
Si 0.621 0.320 0.325
Si 0.680 0.005 0.302
Si 0.703 0.379 0.698
Si 0.995 0.297 0.675
O 0.050 0.235 0.818
O 0.089 0.588 0.271
O 0.181 0.911 0.499
O 0.184 0.445 0.629
O 0.232 0.050 0.815
O 0.235 0.417 0.185
O 0.317 0.819 0.729
O 0.412 0.683 0.501
O 0.417 0.232 0.182
O 0.445 0.816 0.261
O 0.555 0.184 0.739
O 0.583 0.768 0.818
O 0.588 0.317 0.499
O 0.683 0.181 0.271
O 0.765 0.583 0.815
O 0.768 0.950 0.185
O 0.816 0.555 0.371
O 0.819 0.089 0.501
O 0.911 0.412 0.729
O 0.950 0.765 0.182
F 0.000 0.000 0.000
F 0.500 0.500 0.000

Calculated values
SG = I4/m
V = 14.3 Å³ per atom
calculated total energy = -386.724 eV/cell
formation energy without anion corrections = -56.552 eV/f.u.


(7)
KSr2Si4O10F at its PBEsol-relaxed geometry. Source: the Alexandria database, functional meta-GGA SCAN.

Unit cell a=11.525 b=8.458 c=12.907 alpha=90.00 beta=123.48 gamma=90.00
Fractional positions:
K 0.106 0.219 0.071
K 0.106 0.281 0.571
K 0.894 0.719 0.429
K 0.894 0.781 0.929
Sr 0.418 0.217 0.959
Sr 0.418 0.283 0.459
Sr 0.435 0.024 0.721
Sr 0.435 0.476 0.221
Sr 0.565 0.524 0.779
Sr 0.565 0.976 0.279
Sr 0.582 0.717 0.541
Sr 0.582 0.783 0.041
Si 0.126 0.533 0.241
Si 0.126 0.967 0.741
Si 0.192 0.523 0.917
Si 0.192 0.977 0.417
Si 0.248 0.654 0.732
Si 0.248 0.846 0.232
Si 0.257 0.622 0.504
Si 0.257 0.878 0.004
Si 0.743 0.122 0.996
Si 0.743 0.378 0.496
Si 0.752 0.154 0.768
Si 0.752 0.346 0.268
Si 0.808 0.023 0.583
Si 0.808 0.477 0.083
Si 0.874 0.033 0.259
Si 0.874 0.467 0.759
O 0.026 0.543 0.864
O 0.026 0.957 0.364
O 0.127 0.561 0.368
O 0.127 0.939 0.868
O 0.128 0.708 0.187
O 0.128 0.792 0.687
O 0.206 0.577 0.598
O 0.206 0.923 0.098
O 0.211 0.516 0.799
O 0.211 0.984 0.299
O 0.248 0.077 0.762
O 0.248 0.423 0.262
O 0.266 0.127 0.504
O 0.266 0.373 0.004
O 0.268 0.683 0.000
O 0.268 0.817 0.500
O 0.403 0.542 0.547
O 0.403 0.958 0.047
O 0.406 0.714 0.814
O 0.406 0.786 0.314
O 0.594 0.214 0.686
O 0.594 0.286 0.186
O 0.597 0.042 0.953
O 0.597 0.458 0.453
O 0.732 0.183 0.500
O 0.732 0.317 0.000
O 0.734 0.627 0.996
O 0.734 0.873 0.496
O 0.752 0.577 0.738
O 0.752 0.923 0.238
O 0.789 0.016 0.701
O 0.789 0.484 0.201
O 0.794 0.077 0.902
O 0.794 0.423 0.402
O 0.872 0.208 0.313
O 0.872 0.292 0.813
O 0.873 0.061 0.132
O 0.873 0.439 0.632
O 0.974 0.043 0.636
O 0.974 0.457 0.136
F 0.432 0.184 0.291
F 0.432 0.316 0.791
F 0.568 0.684 0.209
F 0.568 0.816 0.709

Calculated values
SG = P2_1/c
V = 14.6 Å³ per atom
calculated total energy = -864.837 eV/cell
formation energy without anion corrections = -57.415 eV/f.u.


(8)
KTaO2F at its PBEsol-relaxed geometry. Source: the Alexandria database, functional meta-GGA SCAN.

Unit cell a=4.268 b=4.268 c=4.175 alpha=90.00 beta=90.00 gamma=90.00
Fractional positions:
K 0.000 0.000 0.000
Ta 0.500 0.500 0.500
O 0.000 0.500 0.000
O 0.500 0.000 0.000
F 0.000 0.000 0.500

Calculated values
SG = P4/mmm
V = 15.2 Å³ per atom
calculated total energy = -88.221 eV/cell
formation energy without anion corrections = 2.693 eV/f.u.


(9)
KTcOF2 at its PBEsol-relaxed geometry. Source: the Alexandria database, functional meta-GGA SCAN.

Unit cell a=4.238 b=4.238 c=3.756 alpha=90.00 beta=90.00 gamma=90.00
Fractional positions:
K 0.000 0.000 0.000
Tc 0.500 0.500 0.500
O 0.500 0.500 0.000
F 0.000 0.500 0.500
F 0.500 0.000 0.500

Calculated values
SG = P4/mmm
V = 13.5 Å³ per atom
calculated total energy = -66.996 eV/cell
formation energy without anion corrections = -10.296 eV/f.u.


(10)
K2TeOF4 at its PBEsol-relaxed geometry. Source: the Alexandria database, functional meta-GGA SCAN.

Unit cell a=7.516 b=7.516 c=6.614 alpha=90.00 beta=90.00 gamma=130.54
Fractional positions:
K 0.066 0.934 0.750
K 0.252 0.748 0.250
K 0.748 0.252 0.750
K 0.934 0.066 0.250
Te 0.393 0.607 0.750
Te 0.607 0.393 0.250
O 0.261 0.739 0.750
O 0.739 0.261 0.250
F 0.150 0.372 0.533
F 0.150 0.372 0.967
F 0.372 0.150 0.033
F 0.372 0.150 0.467
F 0.628 0.850 0.533
F 0.628 0.850 0.967
F 0.850 0.628 0.033
F 0.850 0.628 0.467

Calculated values
SG = Cmcm
V = 17.7 Å³ per atom
calculated total energy = -187.300 eV/cell
formation energy without anion corrections = -19.350 eV/f.u.


(11)
KTeO2F at its PBEsol-relaxed geometry. Source: the Alexandria database, functional meta-GGA SCAN.

Unit cell a=4.155 b=4.155 c=4.600 alpha=90.00 beta=90.00 gamma=90.00
Fractional positions:
K 0.000 0.000 0.000
Te 0.500 0.500 0.500
O 0.000 0.500 0.500
O 0.500 0.000 0.500
F 0.500 0.500 0.000

Calculated values
SG = P4/mmm
V = 15.9 Å³ per atom
calculated total energy = -69.571 eV/cell
formation energy without anion corrections = -7.989 eV/f.u.


(12)
KTi2OF at its PBEsol-relaxed geometry. Source: the Alexandria database, functional meta-GGA SCAN.

Unit cell a=3.854 b=3.854 c=7.130 alpha=90.00 beta=90.00 gamma=90.00
Fractional positions:
K 0.000 0.000 0.000
Ti 0.000 0.500 0.500
Ti 0.500 0.000 0.500
O 0.500 0.500 0.500
F 0.500 0.500 0.000

Calculated values
SG = P4/mmm
V = 21.2 Å³ per atom
calculated total energy = -57.478 eV/cell
formation energy without anion corrections = -7.318 eV/f.u.